# Li2MnCr3O8

An optimized crystal structure of Li2MnCr3O8 (GGA-PBEsol, Alexandria).

The structure in POSCAR format:
```
Li2MnCr3O8
1.0
8.1605 0.0000 0.0000
0.0000 8.1605 0.0000
0.0000 0.0000 8.1605
Li Mn Cr O
8 4 12 32
direct
0.0000 0.0000 0.0000
0.0000 0.5000 0.5000
0.2500 0.2500 0.2500
0.2500 0.7500 0.7500
0.5000 0.0000 0.5000
0.5000 0.5000 0.0000
0.7500 0.2500 0.7500
0.7500 0.7500 0.2500
0.1250 0.8750 0.3750
0.3750 0.1250 0.8750
0.6250 0.6250 0.6250
0.8750 0.3750 0.1250
0.1252 0.1248 0.6250
0.1250 0.3748 0.8752
0.1248 0.6250 0.1252
0.3752 0.3750 0.6252
0.3750 0.6252 0.3752
0.3748 0.8752 0.1250
0.6250 0.1252 0.1248
0.6252 0.3752 0.3750
0.6248 0.8750 0.8748
0.8752 0.1250 0.3748
0.8748 0.6248 0.8750
0.8750 0.8748 0.6248
0.1086 0.3867 0.1143
0.1124 0.6124 0.8876
0.1133 0.8857 0.6086
0.1143 0.1086 0.3867
0.1357 0.8633 0.1414
0.1367 0.6414 0.3643
0.1376 0.3624 0.6376
0.1414 0.1357 0.8633
0.3586 0.8643 0.3633
0.3624 0.6376 0.1376
0.3633 0.3586 0.8643
0.3643 0.1367 0.6414
0.3857 0.8914 0.8867
0.3867 0.1143 0.1086
0.3876 0.3876 0.3876
0.3914 0.6133 0.6143
0.6086 0.1133 0.8857
0.6124 0.8876 0.1124
0.6133 0.6143 0.3914
0.6143 0.3914 0.6133
0.6357 0.6367 0.8586
0.6367 0.8586 0.6357
0.6376 0.1376 0.3624
0.6414 0.3643 0.1367
0.8586 0.6357 0.6367
0.8624 0.8624 0.8624
0.8633 0.1414 0.1357
0.8643 0.3633 0.3586
0.8857 0.6086 0.1133
0.8867 0.3857 0.8914
0.8876 0.1124 0.6124
0.8914 0.8867 0.3857
```

## Properties
Uncorrected formation energy in eV/atom: -1.978
Crystal system: cubic
Distance to the lowest polymorph of the same formula in meV/atom: 0.0